DFT (PBE-GGA) results for crystalline Hf2NbH4 at its relaxed geometry.

Calculated values
- Fermi-level density of states: 2.00 states/eV/f.u.
- Relative energy among the computed polymorphs: 0.000 eV per atom
- Spin magnetization: 0.00 μB per formula unit
- Density: 10.2 g cm⁻³

Cell: 5.9376 5.9376 5.9344 Å, 119.99 119.99 90.00°
With the nearest neighbours (Å) after each atom.
Positions (direct):
H (0.3835, 0.6166, 0.2330)  1 Nb 1.94, 3 Hf 2.03
H (0.8665, 0.1334, 0.2670)  1 Nb 1.94, 3 Hf 2.03
H (0.3834, 0.6165, 0.7670)  1 Nb 1.94, 3 Hf 2.03
H (0.8666, 0.1335, 0.7330)  1 Nb 1.94, 3 Hf 2.03
H (0.4006, 0.1336, 0.2671)  1 Nb 1.94, 3 Hf 2.03
Nb (0.0003, 0.9997, 0.0000)  4 H 1.94
Nb (0.2497, 0.7503, 0.5000)  4 H 1.94
H (0.3835, 0.1506, 0.7671)  1 Nb 1.94, 3 Hf 2.03
H (0.8494, 0.6164, 0.2329)  1 Nb 1.94, 3 Hf 2.03
Hf (0.6250, 0.8750, 0.2500)  6 H 2.03
Hf (0.6250, 0.3750, 0.2500)  6 H 2.03
Hf (0.6250, 0.3750, 0.7500)  6 H 2.03
Hf (0.1250, 0.3750, 0.7500)  6 H 2.03
H (0.8664, 0.5994, 0.7329)  1 Nb 1.94, 3 Hf 2.03

DFT (PBE-GGA) results for crystalline Na13Sn2 at its relaxed geometry.

Calculated values
- Fermi-level density of states: 6.33 states/eV/f.u.
- Relative energy among the computed polymorphs: 0.045 eV per atom
- Spin magnetization: 0.00 μB per formula unit
- Formation enthalpy at 0 K: -0.35 eV per formula unit
- Density: 1.7 g cm⁻³

Cell: 9.3232 9.3232 8.9274 Å, 58.52 58.52 60.00°
With the nearest neighbours (Å) after each atom.
Positions (direct):
Na (0.6192, 0.0096, 0.7520)  2 Sn 3.16-3.48, 2 Na 3.29
Na (0.6192, 0.6192, 0.7520)  2 Sn 3.16-3.48, 2 Na 3.29
Na (0.8017, 0.1927, 0.2039)  6 Na 3.29-3.65, 1 Sn 3.39
Na (0.1927, 0.8017, 0.2039)  6 Na 3.29-3.65, 1 Sn 3.39
Na (0.8073, 0.1983, 0.7961)  6 Na 3.29-3.65, 1 Sn 3.39
Na (0.0096, 0.6192, 0.7520)  2 Sn 3.16-3.48, 2 Na 3.29
Na (0.1983, 0.8073, 0.7961)  6 Na 3.29-3.65, 1 Sn 3.39
Na (0.1983, 0.1983, 0.7961)  6 Na 3.29-3.65, 1 Sn 3.39
Sn (0.3612, 0.3612, 0.9164)  4 Na 2.97-3.16
Na (0.9904, 0.3808, 0.2480)  2 Sn 3.16-3.48, 2 Na 3.29
Na (0.3808, 0.3808, 0.2480)  2 Sn 3.16-3.48, 2 Na 3.29
Sn (0.6388, 0.6388, 0.0836)  4 Na 2.97-3.16
Na (0.3808, 0.9904, 0.2480)  2 Sn 3.16-3.48, 2 Na 3.29
Na (0.5000, 0.5000, 0.5000)  2 Sn 2.97
Na (0.8017, 0.8017, 0.2039)  6 Na 3.29-3.65, 1 Sn 3.39

DFT (PBE-GGA) results for crystalline TlPb at its relaxed geometry.

Calculated values
- Fermi-level density of states: 1.13 states/eV/f.u.
- Spin magnetization: 0.00 μB per formula unit
- Formation enthalpy at 0 K: 0.10 eV per formula unit
- Density: 10.7 g cm⁻³

Cell: 6.6456 9.5966 11.9977 Å, 90.00 90.00 90.00°
With the nearest neighbours (Å) after each atom.
Positions (direct):
Tl (0.2500, 0.9531, 0.8438)  7 Pb 3.36-3.71, 2 Tl 3.61
Tl (0.2500, 0.8493, 0.3304)  5 Pb 3.24-3.60
Pb (0.2500, 0.5425, 0.4423)  7 Tl 3.24-3.54
Pb (0.7500, 0.9575, 0.4423)  7 Tl 3.24-3.54
Pb (0.5000, 0.7500, 0.0764)  4 Pb 3.32-3.38, 4 Tl 3.43-3.60
Tl (0.7500, 0.6507, 0.3304)  5 Pb 3.24-3.60
Tl (0.2500, 0.4531, 0.1562)  7 Pb 3.36-3.71, 2 Tl 3.61
Pb (0.7500, 0.4095, 0.1331)  6 Tl 3.31-3.61, 2 Pb 3.38
Tl (0.0000, 0.2500, 0.3679)  4 Tl 3.32-3.61, 6 Pb 3.38-3.61
Pb (0.0000, 0.7500, 0.0764)  4 Pb 3.32-3.38, 4 Tl 3.43-3.60
Tl (0.5000, 0.2500, 0.3679)  4 Tl 3.32-3.61, 6 Pb 3.38-3.61
Tl (0.7500, 0.5469, 0.8438)  7 Pb 3.36-3.71, 2 Tl 3.61
Pb (0.2500, 0.5905, 0.8669)  6 Tl 3.31-3.61, 2 Pb 3.38
Pb (0.7500, 0.4575, 0.5577)  7 Tl 3.24-3.54
Tl (0.5000, 0.7500, 0.6321)  4 Tl 3.32-3.61, 6 Pb 3.38-3.61
Pb (0.0000, 0.2500, 0.9236)  4 Pb 3.32-3.38, 4 Tl 3.43-3.60
Tl (0.0000, 0.7500, 0.6321)  4 Tl 3.32-3.61, 6 Pb 3.38-3.61
Pb (0.7500, 0.9095, 0.8669)  6 Tl 3.31-3.61, 2 Pb 3.38
Pb (0.2500, 0.0425, 0.5577)  7 Tl 3.24-3.54
Pb (0.5000, 0.2500, 0.9236)  4 Pb 3.32-3.38, 4 Tl 3.43-3.60
Tl (0.7500, 0.0469, 0.1562)  7 Pb 3.36-3.71, 2 Tl 3.61
Tl (0.7500, 0.1507, 0.6696)  5 Pb 3.24-3.60
Tl (0.2500, 0.3493, 0.6696)  5 Pb 3.24-3.60
Pb (0.2500, 0.0905, 0.1331)  6 Tl 3.31-3.61, 2 Pb 3.38

DFT (PBE-GGA) results for crystalline BaGeF2 at its relaxed geometry.

Calculated values
- Fermi-level density of states: 0.04 states/eV/f.u.
- Relative energy among the computed polymorphs: 0.271 eV per atom
- Spin magnetization: 0.00 μB per formula unit
- Density: 5.3 g cm⁻³

Cell: 5.2763 5.2763 5.2763 Å, 49.21 49.21 49.21°
With the nearest neighbours (Å) after each atom.
Positions (direct):
Ge (0.5000, 0.5000, 0.5000)  6 F 2.58
F (0.1993, 0.1993, 0.1993)  3 Ge 2.58, 3 F 2.69, 1 Ba 2.77
Ba (0.0000, 0.0000, 0.0000)  2 F 2.77
F (0.8007, 0.8007, 0.8007)  3 Ge 2.58, 3 F 2.69, 1 Ba 2.77